Record 1
A relaxed structure of InGeI2Br. Source: the Alexandria database, functional GGA-PBE.

Structure (CIF):
```
data_InGeI2Br
_chemical_formula_sum 'In1 Ge1 I2 Br1'
_space_group_name_H-M_alt 'P 1'
_space_group_IT_number 1
_space_group_name_Hall 'P 1'
_cell_length_a 5.915
_cell_length_b 5.915
_cell_length_c 5.447
_cell_angle_alpha 90.00
_cell_angle_beta 90.00
_cell_angle_gamma 90.00
loop_
_atom_site_label
_atom_site_fract_x
_atom_site_fract_y
_atom_site_fract_z
_atom_site_occupancy
In1 0.000 0.000 0.000 1
Ge1 0.500 0.500 0.500 1
I1 0.000 0.500 0.500 1
I2 0.500 0.000 0.500 1
Br1 0.500 0.500 0.000 1
```

Formation energy without anion corrections in meV/atom: -371
Symmetry: P4/mmm (123)

=====

Record 2
A relaxed structure of PrDyAl2Si. Source: the Alexandria database, functional GGA-PBE.

Structure (CIF):
```
data_PrDyAl2Si
_chemical_formula_sum 'Pr1 Dy1 Al2 Si1'
_space_group_name_H-M_alt 'P 1'
_space_group_IT_number 1
_space_group_name_Hall 'P 1'
_cell_length_a 6.839
_cell_length_b 6.839
_cell_length_c 6.839
_cell_angle_alpha 142.82
_cell_angle_beta 142.31
_cell_angle_gamma 53.98
loop_
_atom_site_label
_atom_site_fract_x
_atom_site_fract_y
_atom_site_fract_z
_atom_site_occupancy
Pr1 0.000 0.000 0.000 1
Dy1 0.258 0.758 0.500 1
Al1 0.605 0.605 0.000 1
Al2 0.750 0.250 0.500 1
Si1 0.403 0.403 0.000 1
```

Formation energy without anion corrections in meV/atom: -447
Symmetry: Imm2 (44)

=====

Record 3
A relaxed structure of MnP2Ru. Source: the Alexandria database, functional GGA-PBE.

Structure (CIF):
```
data_MnP2Ru
_chemical_formula_sum 'Mn1 P2 Ru1'
_space_group_name_H-M_alt 'P 1'
_space_group_IT_number 1
_space_group_name_Hall 'P 1'
_cell_length_a 3.216
_cell_length_b 3.216
_cell_length_c 5.024
_cell_angle_alpha 90.00
_cell_angle_beta 90.00
_cell_angle_gamma 90.00
loop_
_atom_site_label
_atom_site_fract_x
_atom_site_fract_y
_atom_site_fract_z
_atom_site_occupancy
Mn1 0.000 0.000 0.000 1
P1 0.000 0.000 0.474 1
P2 0.500 0.500 0.133 1
Ru1 0.500 0.500 0.637 1
```

Energy above the lowest structure with this stoichiometry in eV/f.u.: 0.35
Symmetry: P4mm (99)
E_form in eV/atom: -0.322

=====

Record 4
A relaxed structure of CaPuCuIr. Source: the Alexandria database, functional GGA-PBE.

Structure (CIF):
```
data_CaPuCuIr
_chemical_formula_sum 'Ca1 Pu1 Cu1 Ir1'
_space_group_name_H-M_alt 'P 1'
_space_group_IT_number 1
_space_group_name_Hall 'P 1'
_cell_length_a 4.880
_cell_length_b 4.880
_cell_length_c 4.880
_cell_angle_alpha 60.00
_cell_angle_beta 60.00
_cell_angle_gamma 60.00
loop_
_atom_site_label
_atom_site_fract_x
_atom_site_fract_y
_atom_site_fract_z
_atom_site_occupancy
Ca1 0.000 0.000 0.000 1
Pu1 0.500 0.500 0.500 1
Cu1 0.250 0.250 0.250 1
Ir1 0.750 0.750 0.750 1
```

Symmetry: F-43m (216)
E_form in eV/atom: -0.167

=====

Record 5
A relaxed structure of SmEr2Co. Source: the Alexandria database, functional GGA-PBE.

Structure (CIF):
```
data_SmEr2Co
_chemical_formula_sum 'Sm1 Er2 Co1'
_space_group_name_H-M_alt 'P 1'
_space_group_IT_number 1
_space_group_name_Hall 'P 1'
_cell_length_a 3.376
_cell_length_b 3.376
_cell_length_c 8.861
_cell_angle_alpha 90.00
_cell_angle_beta 90.00
_cell_angle_gamma 90.00
loop_
_atom_site_label
_atom_site_fract_x
_atom_site_fract_y
_atom_site_fract_z
_atom_site_occupancy
Sm1 0.000 0.000 0.000 1
Er1 0.500 0.500 0.320 1
Er2 0.500 0.500 0.680 1
Co1 0.000 0.000 0.500 1
```

Energy above the lowest structure with this stoichiometry in eV/f.u.: 0.27
Symmetry: P4/mmm (123)
E_form in eV/atom: -0.091

=====

Record 6
A relaxed structure of Sc2As2F. Source: the Alexandria database, functional GGA-PBE.

Structure (CIF):
```
data_Sc2As2F
_chemical_formula_sum 'Sc4 As4 F2'
_space_group_name_H-M_alt 'P 1'
_space_group_IT_number 1
_space_group_name_Hall 'P 1'
_cell_length_a 6.653
_cell_length_b 6.653
_cell_length_c 3.982
_cell_angle_alpha 90.00
_cell_angle_beta 90.00
_cell_angle_gamma 90.00
loop_
_atom_site_label
_atom_site_fract_x
_atom_site_fract_y
_atom_site_fract_z
_atom_site_occupancy
Sc1 0.179 0.321 0.000 1
Sc2 0.321 0.821 0.000 1
Sc3 0.679 0.179 0.000 1
Sc4 0.821 0.679 0.000 1
As1 0.131 0.631 0.500 1
As2 0.369 0.131 0.500 1
As3 0.631 0.869 0.500 1
As4 0.869 0.369 0.500 1
F1 0.000 0.000 0.000 1
F2 0.500 0.500 0.000 1
```

Formation energy without anion corrections in meV/atom: -1619
Energy above the lowest structure with this stoichiometry in eV/f.u.: 0.00
Symmetry: P4/mbm (127)

=====

Record 7
A relaxed structure of SmInTeO6. Source: the Alexandria database, functional GGA-PBE.

Structure (CIF):
```
data_SmInTeO6
_chemical_formula_sum 'Sm2 In2 Te2 O12'
_space_group_name_H-M_alt 'P 1'
_space_group_IT_number 1
_space_group_name_Hall 'P 1'
_cell_length_a 5.435
_cell_length_b 5.435
_cell_length_c 9.923
_cell_angle_alpha 90.00
_cell_angle_beta 90.00
_cell_angle_gamma 120.00
loop_
_atom_site_label
_atom_site_fract_x
_atom_site_fract_y
_atom_site_fract_z
_atom_site_occupancy
Sm1 0.000 0.000 0.000 1
Sm2 0.000 0.000 0.500 1
In1 0.333 0.667 0.250 1
In2 0.667 0.333 0.750 1
Te1 0.333 0.667 0.750 1
Te2 0.667 0.333 0.250 1
O1 0.032 0.374 0.638 1
O2 0.032 0.658 0.862 1
O3 0.342 0.374 0.862 1
O4 0.342 0.968 0.638 1
O5 0.374 0.032 0.138 1
O6 0.374 0.342 0.362 1
O7 0.626 0.658 0.638 1
O8 0.626 0.968 0.862 1
O9 0.658 0.032 0.362 1
O10 0.658 0.626 0.138 1
O11 0.968 0.342 0.138 1
O12 0.968 0.626 0.362 1
```

Formation energy without anion corrections in meV/atom: -1914
Symmetry: P-31c (163)

=====

Record 8
A relaxed structure of HoInCo4. Source: the Alexandria database, functional GGA-PBE.

Structure (CIF):
```
data_HoInCo4
_chemical_formula_sum 'Ho1 In1 Co4'
_space_group_name_H-M_alt 'P 1'
_space_group_IT_number 1
_space_group_name_Hall 'P 1'
_cell_length_a 4.983
_cell_length_b 4.983
_cell_length_c 4.983
_cell_angle_alpha 60.00
_cell_angle_beta 60.00
_cell_angle_gamma 60.00
loop_
_atom_site_label
_atom_site_fract_x
_atom_site_fract_y
_atom_site_fract_z
_atom_site_occupancy
Ho1 0.000 0.000 0.000 1
In1 0.250 0.250 0.250 1
Co1 0.126 0.625 0.625 1
Co2 0.625 0.126 0.625 1
Co3 0.625 0.625 0.126 1
Co4 0.625 0.625 0.625 1
```

Symmetry: F-43m (216)
E_form in eV/atom: -0.152

=====

Record 9
A relaxed structure of Tl2CoI4. Source: the Alexandria database, functional GGA-PBE.

Structure (CIF):
```
data_Tl2CoI4
_chemical_formula_sum 'Tl2 Co1 I4'
_space_group_name_H-M_alt 'P 1'
_space_group_IT_number 1
_space_group_name_Hall 'P 1'
_cell_length_a 8.336
_cell_length_b 8.336
_cell_length_c 8.336
_cell_angle_alpha 120.93
_cell_angle_beta 120.93
_cell_angle_gamma 88.40
loop_
_atom_site_label
_atom_site_fract_x
_atom_site_fract_y
_atom_site_fract_z
_atom_site_occupancy
Tl1 0.250 0.750 0.500 1
Tl2 0.750 0.250 0.500 1
Co1 0.000 0.000 0.000 1
I1 0.082 0.082 0.383 1
I2 0.301 0.918 0.000 1
I3 0.699 0.699 0.617 1
I4 0.918 0.301 0.000 1
```

Formation energy without anion corrections in meV/atom: -342
Energy above the lowest structure with this stoichiometry in eV/f.u.: 0.27
Symmetry: I-42m (121)

=====

Record 10
A relaxed structure of YNiMo2. Source: the Alexandria database, functional GGA-PBE.

Structure (CIF):
```
data_YNiMo2
_chemical_formula_sum 'Y1 Ni1 Mo2'
_space_group_name_H-M_alt 'P 1'
_space_group_IT_number 1
_space_group_name_Hall 'P 1'
_cell_length_a 2.793
_cell_length_b 2.793
_cell_length_c 8.682
_cell_angle_alpha 90.00
_cell_angle_beta 90.00
_cell_angle_gamma 90.00
loop_
_atom_site_label
_atom_site_fract_x
_atom_site_fract_y
_atom_site_fract_z
_atom_site_occupancy
Y1 0.000 0.000 0.000 1
Ni1 0.000 0.000 0.500 1
Mo1 0.500 0.500 0.294 1
Mo2 0.500 0.500 0.706 1
```

Energy above the lowest structure with this stoichiometry in eV/f.u.: 1.03
Symmetry: P4/mmm (123)
E_form in eV/atom: 0.375

=====

Record 11
A relaxed structure of LaHgF2. Source: the Alexandria database, functional GGA-PBE.

Structure (CIF):
```
data_LaHgF2
_chemical_formula_sum 'La1 Hg1 F2'
_space_group_name_H-M_alt 'P 1'
_space_group_IT_number 1
_space_group_name_Hall 'P 1'
_cell_length_a 4.705
_cell_length_b 4.705
_cell_length_c 4.705
_cell_angle_alpha 60.00
_cell_angle_beta 60.00
_cell_angle_gamma 60.00
loop_
_atom_site_label
_atom_site_fract_x
_atom_site_fract_y
_atom_site_fract_z
_atom_site_occupancy
La1 0.000 0.000 0.000 1
Hg1 0.500 0.500 0.500 1
F1 0.250 0.250 0.250 1
F2 0.750 0.750 0.750 1
```

Formation energy without anion corrections in meV/atom: -2148
Energy above the lowest structure with this stoichiometry in eV/f.u.: 1.56
Symmetry: Fm-3m (225)

=====

Record 12
A relaxed structure of BaSm2H. Source: the Alexandria database, functional GGA-PBE.

Structure (CIF):
```
data_BaSm2H
_chemical_formula_sum 'Ba1 Sm2 H1'
_space_group_name_H-M_alt 'P 1'
_space_group_IT_number 1
_space_group_name_Hall 'P 1'
_cell_length_a 10.257
_cell_length_b 10.257
_cell_length_c 10.257
_cell_angle_alpha 20.89
_cell_angle_beta 20.89
_cell_angle_gamma 20.89
loop_
_atom_site_label
_atom_site_fract_x
_atom_site_fract_y
_atom_site_fract_z
_atom_site_occupancy
Ba1 0.000 0.000 0.000 1
Sm1 0.122 0.122 0.122 1
Sm2 0.878 0.878 0.878 1
H1 0.500 0.500 0.500 1
```

Symmetry: R-3m (166)

=====

Record 13
A relaxed structure of Tb3Ge4Rh2. Source: the Alexandria database, functional GGA-PBE.

Structure (CIF):
```
data_Tb3Ge4Rh2
_chemical_formula_sum 'Tb3 Ge4 Rh2'
_space_group_name_H-M_alt 'P 1'
_space_group_IT_number 1
_space_group_name_Hall 'P 1'
_cell_length_a 5.825
_cell_length_b 5.825
_cell_length_c 8.237
_cell_angle_alpha 107.57
_cell_angle_beta 107.57
_cell_angle_gamma 43.19
loop_
_atom_site_label
_atom_site_fract_x
_atom_site_fract_y
_atom_site_fract_z
_atom_site_occupancy
Tb1 0.000 0.000 0.000 1
Tb2 0.374 0.374 0.305 1
Tb3 0.626 0.626 0.695 1
Ge1 0.088 0.088 0.399 1
Ge2 0.290 0.290 0.926 1
Ge3 0.710 0.710 0.074 1
Ge4 0.912 0.912 0.601 1
Rh1 0.311 0.311 0.632 1
Rh2 0.689 0.689 0.368 1
```

Symmetry: C2/m (12)
E_form in eV/atom: -0.894

=====

| no. | raw total energy (eV for the cell shown) |
| --- | --- |
| 1 | -14.0 |
| 2 | -24.5 |
| 3 | -30.6 |
| 4 | -30.0 |
| 5 | -21.3 |
| 6 | -63.9 |
| 7 | -115.1 |
| 8 | -36.6 |
| 9 | -20.4 |
| 10 | -32.4 |
| 11 | -17.6 |
| 12 | -14.7 |
| 13 | -55.1 |